This record from Alexandria via LeMat-Bulk describes a relaxed structure of Rb2NdRe2N6. The functional is PBE.

Properties
**Density**: 5.46 g/cm3
**Raw formation energy**: -0.31 eV/atom

Unit cell a=6.4891 b=6.4891 c=7.5936 alpha=117.14 beta=117.14 gamma=59.63
Closest atoms and distances in Å follow each position.
Fractional coordinates of all 11 atoms:
Rb 0.2167 0.2167 0.1824  9 N 3.22-3.60
Rb 0.7833 0.7833 0.8176  9 N 3.22-3.60
Nd 0.0000 0.0000 0.5000  6 N 2.48-2.49
Re 0.4434 0.4434 0.7921  3 N 1.79
Re 0.5566 0.5566 0.2079  3 N 1.79
N 0.2593 0.2593 0.6872  1 Re 1.79
N 0.2608 0.7259 0.2602  1 Re 1.79
N 0.2741 0.7392 0.7398  1 Re 1.79
N 0.7259 0.2608 0.2602  1 Re 1.79
N 0.7392 0.2741 0.7398  1 Re 1.79
N 0.7407 0.7407 0.3128  1 Re 1.79

---

This record from Alexandria via LeMat-Bulk describes a relaxed structure of ZnSbIr2. The functional is PBE.

Properties
**Density**: 13.79 g/cm3
**Raw formation energy**: 0.31 eV/atom
**Polymorph energy (0 for the lowest one)**: 1.402 eV/f.u.

Unit cell a=8.8778 b=8.8778 c=8.8778 alpha=19.60 beta=19.60 gamma=19.60
Closest atoms and distances in Å follow each position.
Fractional coordinates of all 4 atoms:
Zn 0.0000 0.0000 0.0000  3 Ir 2.58
Sb 0.2359 0.2359 0.2359  3 Ir 2.72, 6 Sb 3.02
Ir 0.4892 0.4892 0.4892  3 Sb 2.72, 9 Ir 2.78-3.02
Ir 0.7397 0.7397 0.7397  3 Zn 2.58, 3 Ir 2.78

---

This record from Alexandria via LeMat-Bulk describes a relaxed structure of HoRh3. The functional is PBE.

Properties
**Uncorrected energy**: -7.039 eV per atom
**Density**: 11.92 g/cm3

Unit cell a=5.3397 b=5.3397 c=5.3397 alpha=147.24 beta=64.70 gamma=125.90
Closest atoms and distances in Å follow each position.
Fractional coordinates of all 4 atoms:
Ho 0.0000 0.0000 0.0000  10 Rh 2.77-2.91, 2 Ho 3.01
Rh 0.4106 0.6544 0.7562  3 Ho 2.77-2.86, 9 Rh 2.79-3.01
Rh 0.4865 0.9865 0.5000  8 Rh 2.79-3.01, 4 Ho 2.80-2.91
Rh 0.8982 0.6544 0.2438  3 Ho 2.77-2.86, 9 Rh 2.79-3.01

---

This record from Alexandria via LeMat-Bulk describes a relaxed structure of LiCaRu2. The functional is PBE.

Properties
**Density**: 5.92 g/cm3
**Polymorph energy (0 for the lowest one)**: 0.666 eV/f.u.

Unit cell a=5.5532 b=5.5532 c=5.5532 alpha=148.51 beta=127.86 gamma=62.19
Closest atoms and distances in Å follow each position.
Fractional coordinates of all 4 atoms:
Li 0.0000 0.0000 0.0000  6 Ru 2.73-2.91, 2 Li 3.01
Ca 0.7199 0.2199 0.5000  6 Ru 2.87-2.99, 2 Ca 3.01, 4 Li 3.06-3.21
Ru 0.2388 0.7388 0.5000  2 Ru 2.50, 2 Li 2.73
Ru 0.4481 0.4481 0.0000  2 Ru 2.50

---

This record from Alexandria via LeMat-Bulk describes a relaxed structure of SrPaIn2I8. The functional is PBE.

Properties
**Density**: 4.34 g/cm3
**Raw formation energy**: -0.95 eV/atom

Unit cell a=7.6845 b=9.6063 c=8.1096 alpha=90.00 beta=92.08 gamma=90.00
Closest atoms and distances in Å follow each position.
Fractional coordinates of all 12 atoms:
Sr 0.0000 0.0000 0.0000  6 I 3.27-3.36
Pa 0.0000 0.5000 0.0000  6 I 2.99-3.08
In 0.5000 0.2441 0.5000  6 I 3.29-3.66
In 0.5000 0.7559 0.5000  6 I 3.29-3.66
I 0.2095 0.5000 0.3182  1 Pa 2.99
I 0.2339 0.2693 0.8635  1 Pa 3.08, 1 Sr 3.36
I 0.2339 0.7307 0.8635  1 Pa 3.08, 1 Sr 3.36
I 0.2502 0.0000 0.3344  1 Sr 3.27, 2 In 3.29
I 0.7498 0.0000 0.6656  1 Sr 3.27, 2 In 3.29
I 0.7661 0.2693 0.1365  1 Pa 3.08, 1 Sr 3.36
I 0.7661 0.7307 0.1365  1 Pa 3.08, 1 Sr 3.36
I 0.7905 0.5000 0.6818  1 Pa 2.99

---

This record from Alexandria via LeMat-Bulk describes a relaxed structure of AlTlPt2. The functional is PBE.

Properties
**Density**: 14.34 g/cm3
**Polymorph energy (0 for the lowest one)**: 0.000 eV/f.u.

Unit cell a=2.9463 b=3.2551 c=7.6013 alpha=90.00 beta=99.26 gamma=90.00
Closest atoms and distances in Å follow each position.
Fractional coordinates of all 4 atoms:
Al 0.0000 0.0000 0.0000  8 Pt 2.61-2.63
Tl 0.5000 0.0000 0.5000  4 Pt 2.90, 2 Tl 2.95
Pt 0.4264 0.5000 0.8097  4 Al 2.61-2.63, 1 Pt 2.86, 2 Tl 2.90
Pt 0.5736 0.5000 0.1903  4 Al 2.61-2.63, 1 Pt 2.86, 2 Tl 2.90

---

This record from Alexandria via LeMat-Bulk describes a relaxed structure of PuGaAg. The functional is PBE.

Properties
**Uncorrected energy**: -6.834 eV per atom
**Density**: 11.47 g/cm3

Unit cell a=6.7012 b=6.7012 c=6.7012 alpha=153.21 beta=153.21 gamma=38.25
Closest atoms and distances in Å follow each position.
Fractional coordinates of all 3 atoms:
Pu 0.0000 0.0000 0.0000  4 Ga 3.10, 4 Pu 3.11, 4 Ag 3.28
Ga 0.3276 0.3276 0.0000  4 Ag 2.79, 4 Pu 3.10, 4 Ga 3.11
Ag 0.6920 0.6920 0.0000  4 Ga 2.79, 4 Ag 3.11

---

This record from Alexandria via LeMat-Bulk describes a relaxed structure of Th6TcAu5. The functional is PBE.

Properties
**Uncorrected energy**: -6.431 eV per atom
**Density**: 13.55 g/cm3

Unit cell a=9.0663 b=9.0663 c=9.0663 alpha=146.71 beta=131.54 gamma=60.06
Closest atoms and distances in Å follow each position.
Fractional coordinates of all 12 atoms:
Th 0.0827 0.3441 0.7386  1 Tc 3.02, 7 Au 3.13-3.27
Th 0.2339 0.0000 0.2339  2 Tc 3.13, 6 Au 3.27-3.38, 1 Th 3.48
Th 0.3945 0.6559 0.7386  1 Tc 3.02, 7 Au 3.13-3.27
Th 0.6055 0.3441 0.2614  1 Tc 3.02, 7 Au 3.13-3.27
Th 0.7661 0.0000 0.7661  2 Tc 3.13, 6 Au 3.27-3.38, 1 Th 3.48
Th 0.9173 0.6559 0.2614  1 Tc 3.02, 7 Au 3.13-3.27
Tc 0.0000 0.5000 0.5000  8 Th 3.02-3.13
Au 0.1848 0.1848 0.0000  8 Th 3.17-3.38, 2 Au 3.46
Au 0.3306 0.8306 0.5000  8 Th 3.25-3.32, 2 Au 3.46
Au 0.5000 0.5000 0.0000  8 Th 3.13-3.27
Au 0.6694 0.1694 0.5000  8 Th 3.25-3.32, 2 Au 3.46
Au 0.8152 0.8152 0.0000  8 Th 3.17-3.38, 2 Au 3.46

---

This record from Alexandria via LeMat-Bulk describes a relaxed structure of Mg7Cd3Hg. The functional is PBE.

Properties
**Density**: 4.67 g/cm3
**Polymorph energy (0 for the lowest one)**: 0.000 eV/f.u.

Unit cell a=11.6297 b=11.6297 c=13.2408 alpha=90.00 beta=90.00 gamma=163.67
Closest atoms and distances in Å follow each position.
Fractional coordinates of all 22 atoms:
Mg 0.0485 0.9515 0.6224  2 Hg 2.91, 2 Cd 2.98, 2 Mg 3.11-3.15
Mg 0.0485 0.9515 0.8776  2 Hg 2.91, 2 Cd 2.98, 2 Mg 3.11-3.15
Mg 0.0879 0.9121 0.1024  2 Hg 2.94, 4 Cd 3.09-3.11, 3 Mg 3.11-3.15
Mg 0.0879 0.9121 0.3976  2 Hg 2.94, 4 Cd 3.09-3.11, 3 Mg 3.11-3.15
Mg 0.1873 0.8127 0.7500  5 Cd 3.11-3.40, 6 Mg 3.30-3.34
Mg 0.2246 0.7754 0.0931  5 Cd 2.90-3.13, 3 Mg 3.15-3.19
Mg 0.2246 0.7754 0.4069  5 Cd 2.90-3.13, 3 Mg 3.15-3.19
Mg 0.7754 0.2246 0.5931  5 Cd 2.90-3.13, 3 Mg 3.15-3.19
Mg 0.7754 0.2246 0.9069  5 Cd 2.90-3.13, 3 Mg 3.15-3.19
Mg 0.8127 0.1873 0.2500  5 Cd 3.11-3.40, 6 Mg 3.30-3.34
Mg 0.9121 0.0879 0.6024  2 Hg 2.94, 4 Cd 3.09-3.11, 3 Mg 3.11-3.15
Mg 0.9121 0.0879 0.8976  2 Hg 2.94, 4 Cd 3.09-3.11, 3 Mg 3.11-3.15
Mg 0.9515 0.0485 0.1224  2 Hg 2.91, 2 Cd 2.98, 2 Mg 3.11-3.15
Mg 0.9515 0.0485 0.3776  2 Hg 2.91, 2 Cd 2.98, 2 Mg 3.11-3.15
Cd 0.3351 0.6649 0.7500  8 Mg 2.99-3.11, 1 Hg 3.21, 2 Cd 3.30
Cd 0.3494 0.6506 0.0615  9 Mg 2.90-3.13
Cd 0.3494 0.6506 0.4385  9 Mg 2.90-3.13
Cd 0.6506 0.3494 0.5615  9 Mg 2.90-3.13
Cd 0.6506 0.3494 0.9385  9 Mg 2.90-3.13
Cd 0.6649 0.3351 0.2500  8 Mg 2.99-3.11, 1 Hg 3.21, 2 Cd 3.30
Hg 0.4747 0.5253 0.7500  8 Mg 2.91-2.94, 1 Cd 3.21
Hg 0.5253 0.4747 0.2500  8 Mg 2.91-2.94, 1 Cd 3.21

---

This record from Alexandria via LeMat-Bulk describes a relaxed structure of Nd2TmPb9. The functional is PBE.

Properties
**Uncorrected energy**: -4.271 eV per atom
**Density**: 10.86 g/cm3

Unit cell a=4.9149 b=4.9149 c=14.6974 alpha=90.00 beta=90.00 gamma=90.00
Closest atoms and distances in Å follow each position.
Fractional coordinates of all 12 atoms:
Nd 0.0000 0.0000 0.1676  12 Pb 3.48-3.51
Nd 0.0000 0.0000 0.8324  12 Pb 3.48-3.51
Tm 0.0000 0.0000 0.5000  12 Pb 3.42-3.48
Pb 0.0000 0.5000 0.0000  8 Pb 3.48-3.49, 4 Nd 3.48
Pb 0.0000 0.5000 0.3380  8 Pb 3.42-3.49, 2 Tm 3.42, 2 Nd 3.51
Pb 0.0000 0.5000 0.6620  8 Pb 3.42-3.49, 2 Tm 3.42, 2 Nd 3.51
Pb 0.5000 0.0000 0.0000  8 Pb 3.48-3.49, 4 Nd 3.48
Pb 0.5000 0.0000 0.3380  8 Pb 3.42-3.49, 2 Tm 3.42, 2 Nd 3.51
Pb 0.5000 0.0000 0.6620  8 Pb 3.42-3.49, 2 Tm 3.42, 2 Nd 3.51
Pb 0.5000 0.5000 0.1689  4 Nd 3.48, 8 Pb 3.49
Pb 0.5000 0.5000 0.5000  8 Pb 3.42, 4 Tm 3.48
Pb 0.5000 0.5000 0.8311  4 Nd 3.48, 8 Pb 3.49

---

- The highest density belongs to which entry?
  AlTlPt2